A plane-wave DFT calculation with PBE was carried out for a relaxed AlVSi2 crystal.

Cell: 2.7568 2.7568 27.6307 Å, 90.00 90.00 120.00°
Space group R-3m (No. 166, hexagonal axes)
Symmetry-distinct sites (fractional):
Al: 0.0000 0.0000 0.0000
V: 0.0000 0.0000 0.5000
Si: 0.0000 0.0000 0.0940

Computed properties:
ΔE_f (raw), eV per atom: -0.03
Magnetic moment, Bohr magnetons per cell: 0.00